Entry 1:
CdInNO2 | Alexandria | meta-GGA SCAN | PBEsol geometry; crystal system = tetragonal; formation energy (no corrections) = 0.087 eV per atom
1.0
4.141 0.000 0.000
0.000 4.141 0.000
0.000 0.000 4.168
Cd In N O
1 1 1 2
Direct
0.000 0.000 0.000
0.500 0.500 0.500
0.500 0.500 0.000
0.000 0.500 0.500
0.500 0.000 0.500

Entry 2:
Na2CdIn | Alexandria | meta-GGA SCAN | PBEsol geometry; crystal system = cubic; DFT formation energy = -9.3 kJ/mol of atoms
1.0
0.000 3.681 3.681
3.681 0.000 3.681
3.681 3.681 0.000
Na Cd In
2 1 1
Direct
0.250 0.250 0.250
0.750 0.750 0.750
0.000 0.000 0.000
0.500 0.500 0.500

Entry 3:
Na2Cd2In | Alexandria | meta-GGA SCAN | PBEsol geometry; crystal system = tetragonal; DFT formation energy = -10.5 kJ/mol of atoms
1.0
7.512 0.000 0.000
0.000 7.512 0.000
0.000 0.000 4.591
Na Cd In
4 4 2
Direct
0.171 0.329 0.000
0.329 0.829 0.000
0.671 0.171 0.000
0.829 0.671 0.000
0.133 0.633 0.500
0.367 0.133 0.500
0.633 0.867 0.500
0.867 0.367 0.500
0.000 0.000 0.500
0.500 0.500 0.500